Entry 1:
An optimized crystal structure of Mg2TlCuPb. Source: Alexandria, functional PBE.

Results
- Final energy: -2.5620 eV per atom
- Symmetry: No. 123

Cell lengths 5.099, 5.099, 5.081 Å; angles 90.00, 90.00, 90.00 degrees
Fractional positions:
Pb 0.000 0.000 0.500
Tl 0.500 0.500 0.500
Mg 0.000 0.500 0.000
Mg 0.500 0.000 0.000
Cu 0.000 0.000 0.000

***

Entry 2:
An optimized crystal structure of Y2MgCuPb. Source: Alexandria, functional PBE.

Results
- Final energy: -4.5798 eV per atom
- Symmetry: No. 123

Cell lengths 5.297, 5.297, 4.879 Å; angles 90.00, 90.00, 90.00 degrees
Fractional positions:
Pb 0.500 0.500 0.500
Y 0.000 0.500 0.000
Y 0.500 0.000 0.000
Mg 0.000 0.000 0.500
Cu 0.000 0.000 0.000

***

Entry 3:
An optimized crystal structure of MgCu7Pd12. Source: Alexandria, functional PBE.

Results
- Final energy: -4.4456 eV per atom
- Symmetry: No. 166

Cell lengths 6.856, 6.856, 6.856 Å; angles 96.14, 96.14, 96.14 degrees
Fractional positions:
Mg 0.000 0.000 0.000
Cu 0.935 0.631 0.935
Cu 0.369 0.065 0.065
Cu 0.065 0.065 0.369
Cu 0.500 0.500 0.500
Cu 0.935 0.935 0.631
Cu 0.631 0.935 0.935
Cu 0.065 0.369 0.065
Pd 0.775 0.244 0.775
Pd 0.756 0.225 0.225
Pd 0.432 0.145 0.432
Pd 0.855 0.568 0.568
Pd 0.225 0.225 0.756
Pd 0.568 0.568 0.855
Pd 0.432 0.432 0.145
Pd 0.775 0.775 0.244
Pd 0.145 0.432 0.432
Pd 0.568 0.855 0.568
Pd 0.244 0.775 0.775
Pd 0.225 0.756 0.225

***

Entry 4:
An optimized crystal structure of MgCu2Pd4. Source: Alexandria, functional PBE.

Results
- Final energy: -4.5695 eV per atom
- Symmetry: No. 139
- ΔE to the lowest computed polymorph: 0 meV/atom

Cell lengths 5.261, 5.261, 5.261 Å; angles 103.89, 103.89, 121.33 degrees
Fractional positions:
Mg 0.500 0.500 0.000
Cu 0.250 0.750 0.500
Cu 0.750 0.250 0.500
Pd 0.208 0.207 0.415
Pd 0.793 0.208 0.000
Pd 0.207 0.792 0.000
Pd 0.792 0.793 0.585

***

Entry 5:
An optimized crystal structure of Mg5CuPd4. Source: Alexandria, functional PBE.

Results
- Final energy: -3.8903 eV per atom
- Symmetry: No. 123

Cell lengths 3.198, 3.198, 15.781 Å; angles 90.00, 90.00, 90.00 degrees
Fractional positions:
Mg 0.500 0.500 0.099
Mg 0.500 0.500 0.299
Mg 0.500 0.500 0.500
Mg 0.500 0.500 0.701
Mg 0.500 0.500 0.901
Cu 0.000 0.000 0.000
Pd 0.000 0.000 0.198
Pd 0.000 0.000 0.400
Pd 0.000 0.000 0.600
Pd 0.000 0.000 0.802

***

Entry 6:
An optimized crystal structure of Mg2Cu2Pd3. Source: Alexandria, functional PBE.

Results
- Final energy: -4.2788 eV per atom
- Symmetry: No. 12

Cell lengths 4.058, 4.660, 6.255 Å; angles 99.62, 90.00, 115.81 degrees
Fractional positions:
Mg 0.701 0.402 0.158
Mg 0.299 0.598 0.842
Cu 0.130 0.259 0.431
Cu 0.870 0.741 0.569
Pd 0.000 0.000 0.000
Pd 0.591 0.182 0.707
Pd 0.409 0.818 0.293

***

Entry 7:
An optimized crystal structure of Mg2CuPd8. Source: Alexandria, functional PBE.

Results
- Final energy: -4.6349 eV per atom
- Symmetry: No. 12
- ΔE to the lowest computed polymorph: 84 meV/atom

Cell lengths 4.871, 8.680, 8.680 Å; angles 35.16, 60.01, 60.01 degrees
Fractional positions:
Mg 0.493 0.817 0.817
Mg 0.507 0.183 0.183
Cu 0.000 0.000 0.000
Pd 0.223 0.335 0.836
Pd 0.777 0.164 0.665
Pd 0.124 0.745 0.745
Pd 0.876 0.255 0.255
Pd 0.223 0.836 0.335
Pd 0.777 0.665 0.164
Pd 0.724 0.586 0.586
Pd 0.276 0.414 0.414

***

Entry 8:
An optimized crystal structure of Mg2CuPd. Source: Alexandria, functional PBE.

Results
- Final energy: -3.5388 eV per atom
- Symmetry: No. 123

Cell lengths 3.076, 4.557, 4.557 Å; angles 90.00, 90.00, 90.00 degrees
Fractional positions:
Mg 0.000 0.000 0.500
Mg 0.000 0.500 0.000
Cu 0.500 0.000 0.000
Pd 0.500 0.500 0.500

***

Entry 9:
An optimized crystal structure of MgCu3Pd3. Source: Alexandria, functional PBE.

Results
- Final energy: -4.4009 eV per atom
- Symmetry: No. 65
- ΔE to the lowest computed polymorph: 0 meV/atom

Cell lengths 6.028, 6.028, 5.831 Å; angles 90.00, 90.00, 91.85 degrees
Fractional positions:
Mg 0.283 0.283 0.000
Mg 0.717 0.717 0.000
Cu 0.285 0.285 0.500
Cu 0.280 0.720 0.500
Cu 0.720 0.280 0.500
Cu 0.247 0.753 0.000
Cu 0.753 0.247 0.000
Cu 0.715 0.715 0.500
Pd 0.000 0.000 0.738
Pd 0.500 0.000 0.255
Pd 0.000 0.500 0.255
Pd 0.500 0.000 0.745
Pd 0.000 0.500 0.745
Pd 0.000 0.000 0.262

***

Entry 10:
An optimized crystal structure of Mg8Cu2Pd. Source: Alexandria, functional PBE.

Results
- Final energy: -2.5479 eV per atom
- Symmetry: No. 71
- ΔE to the lowest computed polymorph: 3 meV/atom

Cell lengths 4.445, 7.480, 7.579 Å; angles 119.57, 107.05, 90.00 degrees
Fractional positions:
Mg 0.658 0.876 0.315
Mg 0.342 0.561 0.685
Mg 0.142 0.142 0.285
Mg 0.000 0.309 0.000
Mg 0.858 0.858 0.715
Mg 0.658 0.439 0.315
Mg 0.342 0.124 0.685
Mg 0.000 0.691 0.000
Cu 0.194 0.694 0.389
Cu 0.806 0.306 0.611
Pd 0.500 0.000 0.000

***

Entry 11:
An optimized crystal structure of Mg2CuPd9. Source: Alexandria, functional PBE.

Results
- Final energy: -4.8287 eV per atom
- Symmetry: No. 123

Cell lengths 3.946, 3.946, 11.849 Å; angles 90.00, 90.00, 90.00 degrees
Fractional positions:
Mg 0.000 0.000 0.332
Mg 0.000 0.000 0.668
Cu 0.000 0.000 0.000
Pd 0.500 0.500 0.000
Pd 0.500 0.500 0.331
Pd 0.500 0.500 0.669
Pd 0.500 0.000 0.161
Pd 0.500 0.000 0.500
Pd 0.500 0.000 0.839
Pd 0.000 0.500 0.161
Pd 0.000 0.500 0.500
Pd 0.000 0.500 0.839

***

Entry 12:
An optimized crystal structure of Mg11Cu9Pd4. Source: Alexandria, functional PBE.

Results
- Final energy: -3.3635 eV per atom
- Symmetry: No. 65

Cell lengths 3.073, 11.402, 11.402 Å; angles 107.78, 90.00, 90.00 degrees
Fractional positions:
Mg 0.000 0.597 0.939
Mg 0.000 0.403 0.061
Mg 0.000 0.939 0.597
Mg 0.000 0.061 0.403
Mg 0.000 0.633 0.367
Mg 0.000 0.367 0.633
Mg 0.000 0.816 0.184
Mg 0.000 0.184 0.816
Mg 0.000 0.000 0.000
Mg 0.000 0.775 0.775
Mg 0.000 0.225 0.225
Cu 0.500 0.613 0.154
Cu 0.500 0.387 0.846
Cu 0.500 0.154 0.613
Cu 0.500 0.846 0.387
Cu 0.500 0.802 0.984
Cu 0.500 0.198 0.016
Cu 0.500 0.984 0.802
Cu 0.500 0.016 0.198
Cu 0.500 0.500 0.500
Pd 0.500 0.573 0.738
Pd 0.500 0.427 0.262
Pd 0.500 0.738 0.573
Pd 0.500 0.262 0.427